The following is a DFT calculation (PBE-GGA) of a relaxed TeAsOsO crystal.

Geometry as POSCAR:
```
TeAsOsO
1.0
-2.5549 2.6952 0.2510
-1.4098 -0.6896 -6.9464
-4.5666 -4.4563 1.3693
As O Os Te
2 2 2 2
Direct
0.0000 0.8682 0.3306
0.0000 0.1318 0.8306
0.5000 0.1990 0.4594
0.5000 0.8010 0.9594
0.0000 0.1861 0.4635
0.0000 0.8139 0.9635
0.5000 0.3497 0.0005
0.5000 0.6503 0.5005
```

For the volume, the calculation gives 21.623 Å³ per atom. The total magnetization comes out at 0.0 μB per formula unit. Its space-group type is No. 26. For the total energy, the calculation gives -6.010 eV/atom.

***

The following is a DFT calculation (PBE-GGA) of a relaxed TeAsOsO crystal.

Geometry as POSCAR:
```
TeAsOsO
1.0
3.0929 -3.0996 0.0000
3.0929 3.0996 0.0000
-0.1148 0.0000 7.9402
As O Os Te
2 2 2 2
Direct
0.7369 0.7369 0.3668
0.2482 0.2482 0.7689
0.8346 0.2668 0.7565
0.2668 0.8346 0.7565
0.7234 0.2376 0.5083
0.2376 0.7234 0.5083
0.7161 0.7161 0.0420
0.2364 0.2364 0.2927
```

For the volume, the calculation gives 19.030 Å³ per atom. The total magnetization comes out at 0.0 μB per formula unit. Its space-group type is No. 8. For the total energy, the calculation gives -5.952 eV/atom.

***

What did the first record say?
The following is a DFT calculation (PBE-GGA) of a relaxed TeAsOsO crystal.

Geometry as POSCAR:
```
TeAsOsO
1.0
-2.5549 2.6952 0.2510
-1.4098 -0.6896 -6.9464
-4.5666 -4.4563 1.3693
As O Os Te
2 2 2 2
Direct
0.0000 0.8682 0.3306
0.0000 0.1318 0.8306
0.5000 0.1990 0.4594
0.5000 0.8010 0.9594
0.0000 0.1861 0.4635
0.0000 0.8139 0.9635
0.5000 0.3497 0.0005
0.5000 0.6503 0.5005
```

For the volume, the calculation gives 21.623 Å³ per atom. The total magnetization comes out at 0.0 μB per formula unit. Its space-group type is No. 26. For the total energy, the calculation gives -6.010 eV/atom.